Entry one
Compound: RbZrTe
Source: the Open Quantum Materials Database
Functional: GGA-PBE
Structure: relaxed

Lattice parameters (Å, degrees): 5.507 5.507 5.507 60.00 60.00 60.00
Fractional positions:
Rb1 0.000 0.000 0.000
Te1 0.250 0.250 0.250
Zr1 0.750 0.750 0.750

Computed properties:
density	4.3	Mg/m³
total moment	3.00	μB/cell
calculated volume	39.4	Å³ per atom

=====

Entry two
Compound: RbZrTe
Source: the Open Quantum Materials Database
Functional: GGA-PBE
Structure: relaxed

Lattice parameters (Å, degrees): 5.358 5.358 5.358 60.00 60.00 60.00
Fractional positions:
Rb1 0.250 0.250 0.250
Te1 0.000 0.000 0.000
Zr1 0.750 0.750 0.750

Computed properties:
density	4.6	Mg/m³
total moment	2.97	μB/cell
calculated volume	36.3	Å³ per atom

=====

Most stable: entry two

=====

Entry one
Compound: RbTlW
Source: the Open Quantum Materials Database
Functional: GGA-PBE
Structure: relaxed

Lattice parameters (Å, degrees): 5.573 5.573 5.573 60.00 60.00 60.00
Fractional positions:
Rb1 0.000 0.000 0.000
Tl1 0.250 0.250 0.250
W1 0.750 0.750 0.750

Computed properties:
density	6.4	Mg/m³
total moment	4.40	μB/cell
calculated volume	40.8	Å³ per atom

=====

Entry two
Compound: RbTlW
Source: the Open Quantum Materials Database
Functional: GGA-PBE
Structure: relaxed

Lattice parameters (Å, degrees): 5.255 5.255 5.255 60.00 60.00 60.00
Fractional positions:
Rb1 0.250 0.250 0.250
Tl1 0.750 0.750 0.750
W1 0.000 0.000 0.000

Computed properties:
density	7.7	Mg/m³
total moment	3.65	μB/cell
calculated volume	34.2	Å³ per atom

=====

Most stable: entry two

=====

Entry one
Compound: RbYZn
Source: the Open Quantum Materials Database
Functional: GGA-PBE
Structure: relaxed

Lattice parameters (Å, degrees): 5.298 5.298 5.298 60.00 60.00 60.00
Fractional positions:
Rb1 0.000 0.000 0.000
Y1 0.250 0.250 0.250
Zn1 0.750 0.750 0.750

Computed properties:
density	3.8	Mg/m³
total moment	0.07	μB/cell
calculated volume	35.0	Å³ per atom

=====

Entry two
Compound: RbYZn
Source: the Open Quantum Materials Database
Functional: GGA-PBE
Structure: relaxed

Lattice parameters (Å, degrees): 5.395 5.395 5.395 60.00 60.00 60.00
Fractional positions:
Rb1 0.250 0.250 0.250
Y1 0.750 0.750 0.750
Zn1 0.000 0.000 0.000

Computed properties:
density	3.6	Mg/m³
total moment	0.33	μB/cell
calculated volume	37.0	Å³ per atom

=====

Most stable: entry two